(1)
This record from the Alexandria database describes Sm2HgP after structural relaxation. The functional is GGA-PBE. Values from VASP.

Quantum ESPRESSO input file:
```
&SYSTEM
  ibrav = 0, nat = 4, ntyp = 3
/
ATOMIC_SPECIES
Sm 150.36 Sm.upf
Hg 200.59 Hg.upf
P 30.97 P.upf
ATOMIC_POSITIONS crystal
Sm 0.0691 0.0691 0.7927
Sm 0.2643 0.2643 0.2072
Hg 0.4994 0.4994 0.5017
P 0.6672 0.6672 0.9984
CELL_PARAMETERS angstrom
-2.1409 2.4247 2.4070
-1.5524 -1.4291 3.4357
5.2492 2.3241 5.7044
```

Summary:
Energy of formation ... -0.952 eV/atom
E_tot ... -4.7392 eV per atom
Space-group type ... R3m, No. 160
Total magnetic moment ... 0.00 Bohr magnetons per cell
Offset from the most stable computed form ... 3.0 kJ per mole of atoms

=====

(2)
This record from the Alexandria database describes ErTmTl2 after structural relaxation. The functional is GGA-PBE. Values from VASP.

Quantum ESPRESSO input file:
```
&SYSTEM
  ibrav = 0, nat = 4, ntyp = 3
/
ATOMIC_SPECIES
Tl 204.38 Tl.upf
Tm 168.93 Tm.upf
Er 167.26 Er.upf
ATOMIC_POSITIONS crystal
Tl 0.7497 0.7497 0.7508
Tl 0.2503 0.2503 0.2492
Tm 0.0000 0.0000 0.0000
Er 0.5000 0.5000 0.5000
CELL_PARAMETERS angstrom
3.7002 0.0000 0.0000
1.8501 3.2045 0.0000
1.8501 1.0682 9.5844
```

Summary:
Energy of formation ... -0.246 eV/atom
E_tot ... -3.6874 eV per atom
Space-group type ... R-3m, No. 166
Total magnetic moment ... 0.00 Bohr magnetons per cell

=====

(3)
This record from the Alexandria database describes ScRuSe3 after structural relaxation. The functional is GGA-PBE. Values from VASP.

Quantum ESPRESSO input file:
```
&SYSTEM
  ibrav = 0, nat = 5, ntyp = 3
/
ATOMIC_SPECIES
Sc 44.96 Sc.upf
Ru 101.07 Ru.upf
Se 78.96 Se.upf
ATOMIC_POSITIONS crystal
Sc 0.5000 0.5000 0.5000
Ru 0.0000 0.0000 0.0000
Se 0.0000 0.5000 0.0000
Se 0.0000 0.0000 0.5000
Se 0.5000 0.0000 0.0000
CELL_PARAMETERS angstrom
-0.0583 4.2284 2.3918
2.3456 -2.0702 3.7170
4.2542 1.1994 -2.0166
```

Summary:
E_tot ... -5.2491 eV per atom
Space-group type ... Pm-3m, No. 221
Total magnetic moment ... 0.64 Bohr magnetons per cell
Offset from the most stable computed form ... 0.0 kJ per mole of atoms

=====

(4)
This record from the Alexandria database describes InSiBiI2 after structural relaxation. The functional is GGA-PBE. Values from VASP.

Quantum ESPRESSO input file:
```
&SYSTEM
  ibrav = 0, nat = 5, ntyp = 4
/
ATOMIC_SPECIES
I 126.90 I.upf
Si 28.09 Si.upf
Bi 208.98 Bi.upf
In 114.82 In.upf
ATOMIC_POSITIONS crystal
I 0.0000 0.5000 0.0000
I 0.5000 0.0000 0.0000
Si 0.0000 0.0000 0.5000
Bi 0.5000 0.5000 0.5000
In 0.0000 0.0000 0.0000
CELL_PARAMETERS angstrom
-3.9653 -4.3296 -0.5716
3.9660 -3.2468 -2.9196
1.6509 -2.1191 4.5991
```

Summary:
E_tot ... -2.3982 eV per atom
Space-group type ... P4/mmm, No. 123
Total magnetic moment ... 0.08 Bohr magnetons per cell

=====

(5)
This record from the Alexandria database describes YMoBr after structural relaxation. The functional is GGA-PBE. Values from VASP.

Quantum ESPRESSO input file:
```
&SYSTEM
  ibrav = 0, nat = 3, ntyp = 3
/
ATOMIC_SPECIES
Y 88.91 Y.upf
Mo 95.94 Mo.upf
Br 79.90 Br.upf
ATOMIC_POSITIONS crystal
Y 0.6725 0.6725 0.0000
Mo 0.3282 0.3282 0.0000
Br 0.9994 0.9994 0.0000
CELL_PARAMETERS angstrom
-6.2557 2.0828 1.5052
-4.2187 0.1956 5.2822
6.0811 0.9648 -2.7976
```

Summary:
E_tot ... -6.0459 eV per atom
Space-group type ... I4mm, No. 107
Total magnetic moment ... 1.99 Bohr magnetons per cell
Offset from the most stable computed form ... 8.5 kJ per mole of atoms

=====

(6)
This record from the Alexandria database describes CuBS2N after structural relaxation. The functional is GGA-PBE. Values from VASP.

Quantum ESPRESSO input file:
```
&SYSTEM
  ibrav = 0, nat = 5, ntyp = 4
/
ATOMIC_SPECIES
S 32.06 S.upf
B 10.81 B.upf
Cu 63.55 Cu.upf
N 14.01 N.upf
ATOMIC_POSITIONS crystal
S 0.0000 0.5000 0.0000
S 0.5000 0.0000 0.0000
B 0.0000 0.0000 0.0000
Cu 0.5000 0.5000 0.5000
N 0.0000 0.0000 0.5000
CELL_PARAMETERS angstrom
4.9919 0.0000 0.0000
0.0000 4.9919 0.0000
0.0000 0.0000 2.6640
```

Summary:
E_tot ... -4.9925 eV per atom
Space-group type ... P4/mmm, No. 123
Total magnetic moment ... 0.00 Bohr magnetons per cell
Offset from the most stable computed form ... 0.0 kJ per mole of atoms

=====

(7)
This record from the Alexandria database describes LiTl2OsO6 after structural relaxation. The functional is GGA-PBE. Values from VASP.

Quantum ESPRESSO input file:
```
&SYSTEM
  ibrav = 0, nat = 10, ntyp = 4
/
ATOMIC_SPECIES
Li 6.94 Li.upf
Tl 204.38 Tl.upf
Os 190.23 Os.upf
O 16.00 O.upf
ATOMIC_POSITIONS crystal
Li 0.5000 0.0000 0.0000
Tl 0.9772 0.3333 0.6667
Tl 0.0228 0.6667 0.3333
Os 0.0000 0.0000 0.0000
O 0.7936 0.1393 0.2786
O 0.7936 0.1393 0.8607
O 0.7936 0.7214 0.8607
O 0.2064 0.8607 0.1393
O 0.2064 0.2786 0.1393
O 0.2064 0.8607 0.7214
CELL_PARAMETERS angstrom
-2.2895 4.5983 -1.7448
-4.4070 -0.5022 4.4594
5.3371 3.1085 1.1889
```

Summary:
E_tot ... -5.6450 eV per atom
Space-group type ... P-3m1, No. 164
Total magnetic moment ... 0.00 Bohr magnetons per cell

=====

(8)
This record from the Alexandria database describes Tb7Nd3Dy2 after structural relaxation. The functional is GGA-PBE. Values from VASP.

Quantum ESPRESSO input file:
```
&SYSTEM
  ibrav = 0, nat = 12, ntyp = 3
/
ATOMIC_SPECIES
Tb 158.93 Tb.upf
Nd 144.24 Nd.upf
Dy 162.50 Dy.upf
ATOMIC_POSITIONS crystal
Tb 0.5000 0.2453 0.4991
Tb 0.5000 0.7547 0.5009
Tb 0.0000 0.4371 0.1665
Tb 0.0000 0.0000 0.0000
Tb 0.0000 0.5629 0.8335
Tb 0.5000 0.0569 0.8332
Tb 0.5000 0.9431 0.1668
Nd 0.5000 0.5000 0.0000
Nd 0.0000 0.8881 0.3403
Nd 0.0000 0.1119 0.6597
Dy 0.5000 0.3833 0.3274
Dy 0.5000 0.6167 0.6726
CELL_PARAMETERS angstrom
-0.5145 -1.7864 3.0212
0.3829 -5.5069 -3.1909
17.0247 3.4746 4.9535
```

Summary:
Energy of formation ... 0.081 eV/atom
E_tot ... -4.5786 eV per atom
Space-group type ... P2/m, No. 10
Total magnetic moment ... 0.00 Bohr magnetons per cell
Offset from the most stable computed form ... 0.0 kJ per mole of atoms

=====

(9)
This record from the Alexandria database describes ErHf2WC4 after structural relaxation. The functional is GGA-PBE. Values from VASP.

Quantum ESPRESSO input file:
```
&SYSTEM
  ibrav = 0, nat = 16, ntyp = 4
/
ATOMIC_SPECIES
Er 167.26 Er.upf
Hf 178.49 Hf.upf
W 183.84 W.upf
C 12.01 C.upf
ATOMIC_POSITIONS crystal
Er 0.1161 0.2321 0.7500
Er 0.8839 0.7679 0.2500
Hf 0.3694 0.7388 0.5344
Hf 0.6306 0.2612 0.0344
Hf 0.6306 0.2612 0.4656
Hf 0.3694 0.7388 0.9656
W 0.8493 0.6986 0.7500
W 0.1507 0.3014 0.2500
C 0.2577 0.5153 0.1185
C 0.7423 0.4847 0.6185
C 0.7423 0.4847 0.8815
C 0.2577 0.5153 0.3815
C 0.0000 0.0000 0.5000
C 0.0000 0.0000 0.0000
C 0.4525 0.9049 0.7500
C 0.5475 0.0951 0.2500
CELL_PARAMETERS angstrom
3.3067 0.0000 0.0000
-1.6534 5.7829 0.0000
0.0000 0.0000 11.6762
```

Summary:
Energy of formation ... -0.370 eV/atom
E_tot ... -9.6602 eV per atom
Space-group type ... Cmcm, No. 63
Total magnetic moment ... 0.00 Bohr magnetons per cell

=====

(10)
This record from the Alexandria database describes CaUPd2S4 after structural relaxation. The functional is GGA-PBE. Values from VASP.

Quantum ESPRESSO input file:
```
&SYSTEM
  ibrav = 0, nat = 8, ntyp = 4
/
ATOMIC_SPECIES
Ca 40.08 Ca.upf
U 238.03 U.upf
Pd 106.42 Pd.upf
S 32.06 S.upf
ATOMIC_POSITIONS crystal
Ca 0.0000 0.0000 0.0000
U 0.5000 0.5000 0.5000
Pd 0.2117 0.2883 0.2883
Pd 0.7883 0.7117 0.7117
S 0.5001 0.0380 0.5031
S 0.0412 0.9620 0.4969
S 0.9588 0.5031 0.0380
S 0.4999 0.4969 0.9620
CELL_PARAMETERS angstrom
-1.8296 -1.6528 -6.1914
0.1951 -5.5267 -2.1689
-5.4162 -1.9502 -1.4654
```

Summary:
E_tot ... -6.0154 eV per atom
Space-group type ... I222, No. 23
Total magnetic moment ... 2.15 Bohr magnetons per cell

=====

(11)
This record from the Alexandria database describes Re2RuSe after structural relaxation. The functional is GGA-PBE. Values from VASP.

Quantum ESPRESSO input file:
```
&SYSTEM
  ibrav = 0, nat = 4, ntyp = 3
/
ATOMIC_SPECIES
Re 186.21 Re.upf
Ru 101.07 Ru.upf
Se 78.96 Se.upf
ATOMIC_POSITIONS crystal
Re 0.0000 0.0000 0.9946
Re 0.5000 0.5000 0.2471
Ru 0.0000 0.0000 0.5085
Se 0.5000 0.5000 0.7499
CELL_PARAMETERS angstrom
-0.7408 -1.7626 -2.2073
-0.3449 -2.2084 1.8793
-6.6833 1.7579 0.8391
```

Summary:
E_tot ... -9.1653 eV per atom
Space-group type ... P4mm, No. 99
Total magnetic moment ... 0.00 Bohr magnetons per cell
Offset from the most stable computed form ... 0.0 kJ per mole of atoms

=====

(12)
This record from the Alexandria database describes ZnP4O11 after structural relaxation. The functional is GGA-PBE. Values from VASP.

Quantum ESPRESSO input file:
```
&SYSTEM
  ibrav = 0, nat = 64, ntyp = 3
/
ATOMIC_SPECIES
Zn 65.41 Zn.upf
P 30.97 P.upf
O 16.00 O.upf
ATOMIC_POSITIONS crystal
Zn 0.9903 0.1321 0.1148
Zn 0.0097 0.3679 0.6148
Zn 0.0097 0.8679 0.8852
Zn 0.9903 0.6321 0.3852
P 0.6850 0.4418 0.8212
P 0.3150 0.0582 0.3212
P 0.3150 0.5582 0.1788
P 0.6850 0.9418 0.6788
P 0.3159 0.3102 0.9279
P 0.6841 0.1898 0.4279
P 0.6841 0.6898 0.0721
P 0.3159 0.8102 0.5721
P 0.6093 0.0284 0.8041
P 0.3907 0.4716 0.3041
P 0.3907 0.9716 0.1959
P 0.6093 0.5284 0.6959
P 0.5934 0.2952 0.0371
P 0.4066 0.2048 0.5371
P 0.4066 0.7048 0.9629
P 0.5934 0.7952 0.4629
O 0.3555 0.4766 0.6646
O 0.6445 0.0234 0.1646
O 0.6445 0.5234 0.3354
O 0.3555 0.9766 0.8354
O 0.7765 0.6925 0.4526
O 0.2235 0.8075 0.9526
O 0.2235 0.3075 0.5474
O 0.7765 0.1925 0.0474
O 0.3331 0.7503 0.4344
O 0.6669 0.7497 0.9344
O 0.6669 0.2497 0.5656
O 0.3331 0.2503 0.0656
O 0.8160 0.4481 0.6825
O 0.1840 0.0519 0.1825
O 0.1840 0.5519 0.3175
O 0.8160 0.9481 0.8175
O 0.7509 0.7605 0.6947
O 0.7627 0.5216 0.0478
O 0.7627 0.0216 0.4522
O 0.2373 0.4784 0.9522
O 0.5584 0.8004 0.5353
O 0.4416 0.6996 0.0353
O 0.4416 0.1996 0.4647
O 0.5584 0.3004 0.9647
O 0.7509 0.2605 0.8053
O 0.2491 0.2395 0.3053
O 0.2491 0.7395 0.1947
O 0.5425 0.9946 0.7333
O 0.0837 0.6366 0.5756
O 0.9163 0.8634 0.0756
O 0.9163 0.3634 0.4244
O 0.0837 0.1366 0.9244
O 0.4396 0.8771 0.6355
O 0.5604 0.6229 0.1355
O 0.5604 0.1229 0.3645
O 0.4396 0.3771 0.8645
O 0.9200 0.0929 0.6563
O 0.0800 0.4071 0.1563
O 0.0800 0.9071 0.3437
O 0.9200 0.5929 0.8437
O 0.5425 0.4946 0.7667
O 0.4575 0.0054 0.2667
O 0.4575 0.5054 0.2333
O 0.2373 0.9784 0.5478
CELL_PARAMETERS angstrom
-1.8418 2.2148 -4.6185
6.1433 -4.1854 -1.3347
-13.1025 -18.1262 -3.4673
```

Summary:
E_tot ... -6.8382 eV per atom
Space-group type ... P2_1/c, No. 14
Total magnetic moment ... 0.00 Bohr magnetons per cell
Offset from the most stable computed form ... 0.0 kJ per mole of atoms

=====

Number 1: ρ 8.10 g cm⁻³. Number 2: ρ 10.88 g cm⁻³. Number 3: ρ 5.54 g cm⁻³. Number 4: ρ 5.43 g cm⁻³. Number 5: ρ 6.31 g cm⁻³. Number 6: ρ 3.81 g cm⁻³. Number 7: ρ 6.27 g cm⁻³. Number 8: ρ 7.84 g cm⁻³. Number 9: ρ 11.25 g cm⁻³. Number 10: ρ 6.40 g cm⁻³. Number 11: ρ 15.45 g cm⁻³. Number 12: ρ 2.78 g cm⁻³.